LiMn2P: relaxed, PBE-GGA.

Values from the calculation:
Spin magnetization   0.1200 μB per atom
Energy of formation   3.0 kcal/mol of atoms
Space group   R-3m (166)
Calculated density   5.15 g/cm3

Lattice parameters (Å, degrees): 8.0830 8.0830 8.0830 18.74 18.74 18.74
Closest atoms and distances in Å follow each position.
Positions (direct):
Mn1 0.9889 0.9889 0.9889  3 P 2.30
P1 0.2500 0.2500 0.2500  6 Mn 2.30
Li1 0.7500 0.7500 0.7500  6 Li 2.63, 6 Mn 2.71
Mn2 0.5111 0.5111 0.5111  3 P 2.30

LiMnP2: relaxed, PBE-GGA.

Values from the calculation:
Spin magnetization   0.8076 μB per atom
Energy of formation   -2.5 kcal/mol of atoms
Space group   P4/mmm (123)
Calculated density   3.88 g/cm3

Lattice parameters (Å, degrees): 3.4740 3.9043 3.9043 90.00 90.00 90.00
Closest atoms and distances in Å follow each position.
Positions (direct):
P1 0.0000 0.5000 0.5000  4 Li 2.61, 4 Mn 2.61, 4 P 2.76
Li1 0.5000 0.5000 0.0000  8 P 2.61, 4 Mn 2.76
Mn1 0.5000 0.0000 0.5000  8 P 2.61, 4 Li 2.76
P2 0.0000 0.0000 0.0000  4 Mn 2.61, 4 Li 2.61, 4 P 2.76

LiMnP2: relaxed, PBE-GGA.

Values from the calculation:
Spin magnetization   0.0471 μB per atom
Energy of formation   -7.5 kcal/mol of atoms
Space group   Imm2 (44)
Calculated density   3.71 g/cm3

Lattice parameters (Å, degrees): 6.8376 6.8376 6.8376 156.92 153.71 35.27
Closest atoms and distances in Å follow each position.
Positions (direct):
P1 0.7836 0.2836 0.5000  4 Mn 2.30
Mn1 0.2066 0.7066 0.5000  6 P 2.26-2.30
Li1 0.4413 0.4413 0.0000  6 P 2.58-2.65, 2 Li 2.74
P2 0.0685 0.0685 0.0000  2 Mn 2.26